1.
The following is a GGA-PBE calculation of Y2HgO4 after structural relaxation, from the Open Quantum Materials Database.

Crystal system: monoclinic

Cell lengths 7.0369, 7.0369, 10.1120 Å; angles 121.68, 121.68, 29.61 degrees
Sites, in units of the cell vectors:
Y1 0.1190 0.1190 0.4618
Y2 0.3395 0.3395 0.1988
Y3 0.6605 0.6605 0.8012
Y4 0.8810 0.8810 0.5382
Hg1 0.3875 0.3875 0.8393
Hg2 0.6125 0.6125 0.1607
O1 0.0825 0.0825 0.6521
O2 0.2658 0.2658 0.3858
O3 0.2980 0.2980 0.9465
O4 0.4658 0.4658 0.7180
O5 0.5342 0.5342 0.2820
O6 0.7020 0.7020 0.0535
O7 0.7342 0.7342 0.6142
O8 0.9175 0.9175 0.3479

2.
The following is a GGA-PBE calculation of HfScHg2 after structural relaxation, from the Open Quantum Materials Database.

E_form in eV/atom: 0.199
Crystal system: cubic

Cell lengths 4.9488, 4.9488, 4.9488 Å; angles 60.00, 60.00, 60.00 degrees
Sites, in units of the cell vectors:
Hf1 0.0000 0.0000 0.0000
Sc1 0.7500 0.7500 0.7500
Hg1 0.2500 0.2500 0.2500
Hg2 0.5000 0.5000 0.5000

3.
The following is a GGA-PBE calculation of TbErAl4Ni2 after structural relaxation, from the Open Quantum Materials Database.

Crystal system: orthorhombic

Cell lengths 6.8729, 5.4713, 5.4713 Å; angles 43.49, 90.00, 90.00 degrees
Sites, in units of the cell vectors:
Tb1 0.0000 0.0000 0.0000
Er1 0.5000 0.8772 0.8772
Al1 0.1955 0.2820 0.2820
Al2 0.3047 0.5953 0.5953
Al3 0.6953 0.5953 0.5953
Al4 0.8045 0.2820 0.2820
Ni1 0.0000 0.7228 0.7228
Ni2 0.5000 0.1544 0.1544

4.
The following is a GGA-PBE calculation of CdFeSiAu after structural relaxation, from the Open Quantum Materials Database.

Crystal system: cubic

Cell lengths 4.4976, 4.4976, 4.4976 Å; angles 60.00, 60.00, 60.00 degrees
Sites, in units of the cell vectors:
Cd1 0.0000 0.0000 0.0000
Fe1 0.7500 0.7500 0.7500
Si1 0.5000 0.5000 0.5000
Au1 0.2500 0.2500 0.2500

5.
The following is a GGA-PBE calculation of KNbAsO after structural relaxation, from the Open Quantum Materials Database.

Crystal system: tetragonal

Cell lengths 4.1901, 4.1901, 10.7285 Å; angles 90.00, 90.00, 90.00 degrees
Sites, in units of the cell vectors:
K1 0.2500 0.2500 0.1404
K2 0.7500 0.7500 0.8596
Nb1 0.2500 0.7500 0.5000
Nb2 0.7500 0.2500 0.5000
As1 0.2500 0.2500 0.6440
As2 0.7500 0.7500 0.3560
O1 0.2500 0.7500 0.0000
O2 0.7500 0.2500 0.0000

6.
The following is a GGA-PBE calculation of PaMoW after structural relaxation, from the Open Quantum Materials Database.

E_form in eV/atom: 1.173
Crystal system: cubic

Cell lengths 4.4555, 4.4555, 4.4555 Å; angles 60.00, 60.00, 60.00 degrees
Sites, in units of the cell vectors:
Pa1 0.0000 0.0000 0.0000
Mo1 0.7500 0.7500 0.7500
W1 0.2500 0.2500 0.2500

7.
The following is a GGA-PBE calculation of MgCuBi after structural relaxation, from the Open Quantum Materials Database.

Crystal system: hexagonal

Cell lengths 4.4998, 4.4998, 7.5464 Å; angles 90.00, 90.00, 120.00 degrees
Sites, in units of the cell vectors:
Mg1 0.0000 0.0000 0.0000
Mg2 0.0000 0.0000 0.5000
Cu1 0.3333 0.6667 0.3713
Cu2 0.6667 0.3333 0.8713
Bi1 0.3333 0.6667 0.7402
Bi2 0.6667 0.3333 0.2402

8.
The following is a GGA-PBE calculation of HoBi after structural relaxation, from the Open Quantum Materials Database.

Crystal system: trigonal

Cell lengths 4.4560, 4.4560, 4.4560 Å; angles 59.76, 59.76, 59.76 degrees
Sites, in units of the cell vectors:
Ho1 0.0000 0.0000 0.0000
Bi1 0.5000 0.5000 0.5000

9.
The following is a GGA-PBE calculation of ZnAgSeO after structural relaxation, from the Open Quantum Materials Database.

Crystal system: hexagonal

Cell lengths 3.7158, 3.7158, 11.7041 Å; angles 90.00, 90.00, 120.00 degrees
Sites, in units of the cell vectors:
Zn1 0.0000 0.0000 0.0000
Zn2 0.0000 0.0000 0.5000
Ag1 0.3333 0.6667 0.2678
Ag2 0.6667 0.3333 0.7678
Se1 0.3333 0.6667 0.6126
Se2 0.6667 0.3333 0.1126
O1 0.0000 0.0000 0.3405
O2 0.0000 0.0000 0.8405

10.
The following is a GGA-PBE calculation of BaGdZn after structural relaxation, from the Open Quantum Materials Database.

Crystal system: cubic

Cell lengths 5.3676, 5.3676, 5.3676 Å; angles 60.00, 60.00, 60.00 degrees
Sites, in units of the cell vectors:
Ba1 0.0000 0.0000 0.0000
Gd1 0.5000 0.5000 0.5000
Zn1 0.2500 0.2500 0.2500

11.
The following is a GGA-PBE calculation of LaHf2N after structural relaxation, from the Open Quantum Materials Database.

Crystal system: orthorhombic

Cell lengths 5.6931, 5.6931, 6.8124 Å; angles 90.00, 90.00, 56.30 degrees
Sites, in units of the cell vectors:
La1 0.0000 0.0000 0.0000
La2 0.0000 0.0000 0.5000
Hf1 0.3088 0.3257 0.7500
Hf2 0.3257 0.3088 0.2500
Hf3 0.6743 0.6912 0.7500
Hf4 0.6912 0.6743 0.2500
N1 0.3653 0.6347 0.2500
N2 0.6347 0.3653 0.7500

12.
The following is a GGA-PBE calculation of CoB4Os after structural relaxation, from the Open Quantum Materials Database.

Crystal system: orthorhombic

Cell lengths 4.3802, 4.3802, 4.3802 Å; angles 140.94, 104.99, 87.98 degrees
Sites, in units of the cell vectors:
Co1 0.0000 0.0000 0.0000
B1 0.0748 0.7370 0.3378
B2 0.3991 0.7370 0.6622
B3 0.6009 0.2630 0.3378
B4 0.9252 0.2630 0.6622
Os1 0.5000 0.5000 0.0000

| no. | raw total energy (eV/atom) |
| --- | --- |
| 1 | -7.34 |
| 2 | -4.02 |
| 3 | -5.06 |
| 4 | -4.19 |
| 5 | -5.37 |
| 6 | -9.93 |
| 7 | -3.16 |
| 8 | -5.17 |
| 9 | -3.46 |
| 10 | -2.40 |
| 11 | -8.66 |
| 12 | -7.27 |